MgSc4Os: relaxed, PBE.

Cell lengths 5.645, 5.645, 8.681 Å; angles 111.64, 111.64, 33.51 degrees
Sites, in units of the cell vectors:
Mg: 0.000 0.000 0.000
Sc: 0.128 0.128 0.379
Sc: 0.336 0.336 0.190
Sc: 0.664 0.664 0.810
Sc: 0.872 0.872 0.621
Os: 0.500 0.500 0.500

## Properties
Total magnetization: 0.00 μB per atom
Energy: -6.3456 eV per atom
Formation energy from the elements: 0.1 eV/f.u.
ρ: 4.65 Mg/m³
Symmetry: No. 12
Energy relative to the lowest polymorph listed for this composition: 0.1956 eV per atom